Record 1
HoThPd2 after structural relaxation, computed with PBE-GGA.

Summary:
Excess energy over the best structure of this formula in the dataset ... 0.088 eV per atom
Symmetry ... Fm-3m, No. 225
Formation enthalpy at 0 K ... -73.7 kJ/mol of atoms

Cell: 5.0557 5.0557 5.0557 Å, 60.00 60.00 60.00°
Atoms (fractional coordinates):
Pd  0.2500  0.2500  0.2500
Pd  0.7500  0.7500  0.7500
Ho  0.0000  0.0000  0.0000
Th  0.5000  0.5000  0.5000



Record 2
HoThPd2 after structural relaxation, computed with PBE-GGA.

Summary:
Excess energy over the best structure of this formula in the dataset ... 0.089 eV per atom
Symmetry ... P4/mmm, No. 123
Formation enthalpy at 0 K ... -73.7 kJ/mol of atoms

Cell: 3.5633 5.0580 5.0580 Å, 90.00 90.00 90.00°
Atoms (fractional coordinates):
Pd  0.0000  0.0000  0.5000
Pd  0.0000  0.5000  0.0000
Ho  0.5000  0.5000  0.5000
Th  0.5000  0.0000  0.0000



Record 3
HoTh4Pd15 after structural relaxation, computed with PBE-GGA.

Summary:
Symmetry ... P4/mmm, No. 123
Formation enthalpy at 0 K ... -90.6 kJ/mol of atoms

Cell: 4.1944 4.1944 21.0225 Å, 90.00 90.00 90.00°
Atoms (fractional coordinates):
Ho  0.0000  0.0000  0.0000
Th  0.0000  0.0000  0.1950
Th  0.0000  0.0000  0.3984
Th  0.0000  0.0000  0.6016
Th  0.0000  0.0000  0.8050
Pd  0.5000  0.5000  0.0000
Pd  0.5000  0.5000  0.1992
Pd  0.5000  0.5000  0.3997
Pd  0.5000  0.5000  0.6003
Pd  0.5000  0.5000  0.8008
Pd  0.5000  0.0000  0.0981
Pd  0.5000  0.0000  0.2987
Pd  0.5000  0.0000  0.5000
Pd  0.5000  0.0000  0.7013
Pd  0.5000  0.0000  0.9019
Pd  0.0000  0.5000  0.0981
Pd  0.0000  0.5000  0.2987
Pd  0.0000  0.5000  0.5000
Pd  0.0000  0.5000  0.7013
Pd  0.0000  0.5000  0.9019



Record 4
Ho2ThPd3 after structural relaxation, computed with PBE-GGA.

Summary:
Symmetry ... Cmmm, No. 65
Formation enthalpy at 0 K ... -78.1 kJ/mol of atoms

Cell: 3.5383 5.0106 15.1121 Å, 90.00 90.00 90.00°
Atoms (fractional coordinates):
Ho  0.9996  0.0000  0.6710
Ho  0.9996  0.0000  0.3290
Ho  0.0004  0.5000  0.1710
Ho  0.0004  0.5000  0.8290
Th  0.9994  0.5000  0.5000
Th  0.0006  0.0000  0.0000
Pd  0.4993  0.5000  0.6684
Pd  0.4997  0.0000  0.5000
Pd  0.4993  0.5000  0.3316
Pd  0.5007  0.0000  0.1684
Pd  0.5003  0.5000  0.0000
Pd  0.5007  0.0000  0.8316



Record 5
HoTh2Pd2 after structural relaxation, computed with PBE-GGA.

Summary:
Excess energy over the best structure of this formula in the dataset ... 0.077 eV per atom
Symmetry ... Immm, No. 71
Formation enthalpy at 0 K ... -54.8 kJ/mol of atoms

Cell: 6.2808 6.2807 6.8362 Å, 122.97 122.97 102.64°
Atoms (fractional coordinates):
Ho  0.0000  0.0000  0.0000
Th  0.1984  0.8016  0.5000
Th  0.8016  0.1984  0.5000
Pd  0.5000  0.5000  0.2019
Pd  0.5000  0.5000  0.7981



Record 6
HoThTlPd after structural relaxation, computed with PBE-GGA.

Summary:
Symmetry ... F-43m, No. 216
Formation enthalpy at 0 K ... -37.0 kJ/mol of atoms

Cell: 5.2649 5.2649 5.2649 Å, 60.00 60.00 60.00°
Atoms (fractional coordinates):
Tl  0.5000  0.5000  0.5000
Pd  0.0000  0.0000  0.0000
Ho  0.2500  0.2500  0.2500
Th  0.7500  0.7500  0.7500



Record 7
HoTi2Pd8 after structural relaxation, computed with PBE-GGA.

Summary:
Symmetry ... C2/m, No. 12
Formation enthalpy at 0 K ... -63.4 kJ/mol of atoms

Cell: 4.0164 6.5504 7.4380 Å, 107.35 105.66 90.00°
Atoms (fractional coordinates):
Ho  0.5000  0.0000  0.0000
Ti  0.7783  0.3340  0.5566
Ti  0.2217  0.6660  0.4434
Pd  0.3941  0.5333  0.7882
Pd  0.6831  0.9159  0.3661
Pd  0.8499  0.7879  0.6997
Pd  0.9558  0.2824  0.9116
Pd  0.1501  0.2121  0.3003
Pd  0.3169  0.0841  0.6339
Pd  0.6059  0.4667  0.2118
Pd  0.0442  0.7176  0.0884



Record 8
Ho2TiPd9 after structural relaxation, computed with PBE-GGA.

Summary:
Symmetry ... P4/mmm, No. 123
Formation enthalpy at 0 K ... -78.0 kJ/mol of atoms

Cell: 4.0504 4.0504 12.1477 Å, 90.00 90.00 90.00°
Atoms (fractional coordinates):
Ho  0.0000  0.0000  0.3294
Ho  0.0000  0.0000  0.6706
Ti  0.0000  0.0000  0.0000
Pd  0.5000  0.5000  0.0000
Pd  0.5000  0.5000  0.3265
Pd  0.5000  0.5000  0.6735
Pd  0.5000  0.0000  0.1533
Pd  0.5000  0.0000  0.5000
Pd  0.5000  0.0000  0.8467
Pd  0.0000  0.5000  0.1533
Pd  0.0000  0.5000  0.5000
Pd  0.0000  0.5000  0.8467